(1)
DFT (PBE) results for a geometry-optimized Ti3BiRu structure.

Properties
As for the formation energy from the elements: 0.16 eV per atom. Its total DFT energy (no corrections) is -7.21 eV/atom. The value obtained for the total magnetization is 0.0 μB/f.u.

a = 4.7401 Å, b = 4.7401 Å, c = 4.7401 Å
α = 90.00°, β = 90.00°, γ = 90.00°
Last column: nearest neighbours and their distance in Å.
Atoms (fractional coordinates):
1 Ru 0.0000 0.0000 0.0000  6 Ti 2.37
2 Bi 0.5000 0.5000 0.5000  12 Ti 3.35
3 Ti 0.0000 0.5000 0.0000  2 Ru 2.37
4 Ti 0.0000 0.0000 0.5000  2 Ru 2.37
5 Ti 0.5000 0.0000 0.0000  2 Ru 2.37

(2)
DFT (PBE) results for a geometry-optimized TiBi3Ru structure.

Properties
As for the formation energy from the elements: 0.99 eV per atom. Its total DFT energy (no corrections) is -4.77 eV/atom. The value obtained for the total magnetization is 2.2 μB/f.u.

a = 5.3245 Å, b = 5.3245 Å, c = 5.3245 Å
α = 90.00°, β = 90.00°, γ = 90.00°
Last column: nearest neighbours and their distance in Å.
Atoms (fractional coordinates):
1 Ru 0.5000 0.5000 0.5000  12 Bi 3.76
2 Bi 0.0000 0.5000 0.0000  2 Ti 2.66
3 Bi 0.0000 0.0000 0.5000  2 Ti 2.66
4 Bi 0.5000 0.0000 0.0000  2 Ti 2.66
5 Ti 0.0000 0.0000 0.0000  6 Bi 2.66

(3)
DFT (PBE) results for a geometry-optimized TiBiRu3 structure.

Properties
As for the formation energy from the elements: 0.93 eV per atom. Its total DFT energy (no corrections) is -6.99 eV/atom. The value obtained for the total magnetization is 0.0 μB/f.u.

a = 4.5899 Å, b = 4.5899 Å, c = 4.5899 Å
α = 90.00°, β = 90.00°, γ = 90.00°
Last column: nearest neighbours and their distance in Å.
Atoms (fractional coordinates):
1 Ru 0.0000 0.5000 0.0000  2 Ti 2.29
2 Ru 0.0000 0.0000 0.5000  2 Ti 2.29
3 Ru 0.5000 0.0000 0.0000  2 Ti 2.29
4 Bi 0.5000 0.5000 0.5000  12 Ru 3.25
5 Ti 0.0000 0.0000 0.0000  6 Ru 2.29

(4)
DFT (PBE) results for a geometry-optimized TiBiRu3 structure.

Properties
As for the formation energy from the elements: 1.87 eV per atom. Its total DFT energy (no corrections) is -6.05 eV/atom. The value obtained for the total magnetization is 0.0 μB/f.u.

a = 4.8568 Å, b = 4.8568 Å, c = 4.8568 Å
α = 90.00°, β = 90.00°, γ = 90.00°
Last column: nearest neighbours and their distance in Å.
Atoms (fractional coordinates):
1 Ru 0.0000 0.5000 0.0000  2 Bi 2.43
2 Ru 0.0000 0.0000 0.5000  2 Bi 2.43
3 Ru 0.5000 0.0000 0.0000  2 Bi 2.43
4 Bi 0.0000 0.0000 0.0000  6 Ru 2.43
5 Ti 0.5000 0.5000 0.5000  12 Ru 3.43

(5)
DFT (PBE) results for a geometry-optimized Ti2BiRu2 structure.

Properties
As for the formation energy from the elements: -0.21 eV per atom. Its total DFT energy (no corrections) is -7.85 eV/atom. The value obtained for the total magnetization is 0.0 μB/f.u.

a = 7.5134 Å, b = 7.5134 Å, c = 3.0845 Å
α = 90.00°, β = 90.00°, γ = 90.00°
Last column: nearest neighbours and their distance in Å.
Atoms (fractional coordinates):
1 Ru 0.3647 0.8647 0.0000  6 Ti 2.64-2.76, 1 Ru 2.88, 2 Bi 2.92
2 Ru 0.8647 0.6353 0.0000  6 Ti 2.64-2.76, 1 Ru 2.88, 2 Bi 2.92
3 Ru 0.6353 0.1353 0.0000  6 Ti 2.64-2.76, 1 Ru 2.88, 2 Bi 2.92
4 Ru 0.1353 0.3647 0.0000  6 Ti 2.64-2.76, 1 Ru 2.88, 2 Bi 2.92
5 Bi 0.0000 0.0000 0.0000  4 Ru 2.92, 2 Bi 3.08, 8 Ti 3.25
6 Bi 0.5000 0.5000 0.0000  4 Ru 2.92, 2 Bi 3.08, 8 Ti 3.25
7 Ti 0.1490 0.6490 0.5000  6 Ru 2.64-2.76
8 Ti 0.6490 0.8510 0.5000  6 Ru 2.64-2.76
9 Ti 0.8510 0.3510 0.5000  6 Ru 2.64-2.76
10 Ti 0.3510 0.1490 0.5000  6 Ru 2.64-2.76

(6)
DFT (PBE) results for a geometry-optimized TiBi2Ru structure.

Properties
As for the formation energy from the elements: 0.24 eV per atom. Its total DFT energy (no corrections) is -5.99 eV/atom. The value obtained for the total magnetization is 2.0 μB/f.u.

a = 4.8971 Å, b = 4.8971 Å, c = 4.8971 Å
α = 60.00°, β = 60.00°, γ = 60.00°
Last column: nearest neighbours and their distance in Å.
Atoms (fractional coordinates):
1 Ru 0.5000 0.5000 0.5000  8 Bi 3.00
2 Bi 0.2500 0.2500 0.2500  4 Ru 3.00, 4 Ti 3.00
3 Bi 0.7500 0.7500 0.7500  4 Ti 3.00, 4 Ru 3.00
4 Ti 0.0000 0.0000 0.0000  8 Bi 3.00

(7)
DFT (PBE) results for a geometry-optimized TlBiRu structure.

Properties
As for the formation energy from the elements: 0.28 eV per atom. Its total DFT energy (no corrections) is -4.90 eV/atom. The value obtained for the total magnetization is 0.0 μB/f.u.

a = 7.0058 Å, b = 4.6498 Å, c = 4.6506 Å
α = 90.00°, β = 109.08°, γ = 90.00°
Last column: nearest neighbours and their distance in Å.
Atoms (fractional coordinates):
1 Tl 0.8749 0.0000 0.1389  4 Ru 2.98-2.99, 4 Tl 3.29
2 Tl 0.8749 0.5000 0.6389  4 Ru 2.98-2.99, 4 Tl 3.29
3 Bi 0.3460 0.0000 0.8777  4 Ru 2.84
4 Bi 0.3460 0.5000 0.3777  4 Ru 2.84
5 Ru 0.5920 0.0000 0.4989  4 Bi 2.84, 4 Tl 2.98-2.99
6 Ru 0.5920 0.5000 0.9989  4 Bi 2.84, 4 Tl 2.98-2.99

(8)
DFT (PBE) results for a geometry-optimized TlBiRu structure.

Properties
As for the formation energy from the elements: 0.36 eV per atom. Its total DFT energy (no corrections) is -4.82 eV/atom. The value obtained for the total magnetization is 0.0 μB/f.u.

a = 3.5629 Å, b = 3.5629 Å, c = 6.8311 Å
α = 90.00°, β = 90.00°, γ = 120.00°
Last column: nearest neighbours and their distance in Å.
Atoms (fractional coordinates):
1 Tl 0.3333 0.6667 0.4535  3 Ru 2.83, 1 Bi 3.13
2 Bi 0.3333 0.6667 0.9952  3 Ru 2.71
3 Ru 0.0000 0.0000 0.7373  3 Bi 2.71, 3 Tl 2.83

Q: Which formula does entry 7 have?
A: TlBiRu